[1]
# GGA-PBE U4Ga12Ni, optimized geometry
data_U4Ga12Ni
_chemical_formula_sum 'U4 Ga12 Ni1'
_space_group_name_H-M_alt 'P 1'
_space_group_IT_number 1
_space_group_name_Hall 'P 1'
_cell_length_a 7.432
_cell_length_b 7.432
_cell_length_c 7.432
_cell_angle_alpha 109.47
_cell_angle_beta 109.47
_cell_angle_gamma 109.47
loop_
_atom_site_label
_atom_site_fract_x
_atom_site_fract_y
_atom_site_fract_z
U1 0.000 0.000 0.500
U2 0.000 0.500 0.000
U3 0.500 0.000 0.000
U4 0.500 0.500 0.500
Ga1 0.000 0.285 0.285
Ga2 0.000 0.715 0.715
Ga3 0.250 0.500 0.750
Ga4 0.250 0.750 0.500
Ga5 0.285 0.000 0.285
Ga6 0.285 0.285 0.000
Ga7 0.500 0.250 0.750
Ga8 0.500 0.750 0.250
Ga9 0.715 0.000 0.715
Ga10 0.715 0.715 0.000
Ga11 0.750 0.250 0.500
Ga12 0.750 0.500 0.250
Ni1 0.000 0.000 0.000
# Energy of formation, meV/atom: -260

***

[2]
# GGA-PBE Cs2ZrOs, optimized geometry
data_Cs2ZrOs
_chemical_formula_sum 'Cs2 Zr1 Os1'
_space_group_name_H-M_alt 'P 1'
_space_group_IT_number 1
_space_group_name_Hall 'P 1'
_cell_length_a 5.313
_cell_length_b 5.313
_cell_length_c 5.313
_cell_angle_alpha 60.00
_cell_angle_beta 60.00
_cell_angle_gamma 60.00
loop_
_atom_site_label
_atom_site_fract_x
_atom_site_fract_y
_atom_site_fract_z
Cs1 0.250 0.250 0.250
Cs2 0.750 0.750 0.750
Zr1 0.000 0.000 0.000
Os1 0.500 0.500 0.500
# Energy of formation, meV/atom: 2193
# ΔE to the lowest computed polymorph, meV per atom: 1005

***

[3]
# GGA-PBE CeAlZn2Cu, optimized geometry
data_CeAlZn2Cu
_chemical_formula_sum 'Ce1 Al1 Zn2 Cu1'
_space_group_name_H-M_alt 'P 1'
_space_group_IT_number 1
_space_group_name_Hall 'P 1'
_cell_length_a 6.079
_cell_length_b 6.079
_cell_length_c 6.079
_cell_angle_alpha 139.81
_cell_angle_beta 139.81
_cell_angle_gamma 58.14
loop_
_atom_site_label
_atom_site_fract_x
_atom_site_fract_y
_atom_site_fract_z
Ce1 0.000 0.000 0.000
Al1 0.750 0.250 0.500
Zn1 0.384 0.384 0.000
Zn2 0.616 0.616 0.000
Cu1 0.250 0.750 0.500
# Energy of formation, meV/atom: -250